AcH12Pt4 (PBE, relaxed); crystal system = cubic; total DFT energy (no corrections) = -72.14 eV/f.u.; SG = Im-3m (229)
1.0
-3.583 3.583 3.583
3.583 -3.583 3.583
3.583 3.583 -3.583
Pt H Ac
4 12 1
Cartesian
-1.792 1.792 1.792
1.792 1.792 1.792
1.792 1.792 -1.792
1.792 -1.792 1.792
0.000 1.896 5.268
0.000 1.896 1.899
5.268 0.000 1.896
3.583 1.687 1.684
-1.684 3.583 1.687
1.687 1.684 3.583
3.583 1.687 -1.684
1.896 5.268 0.000
1.684 3.583 1.687
1.896 1.899 0.000
1.687 -1.684 3.583
1.899 0.000 1.896
0.000 0.000 0.000